Record 1
First-principles (GGA-PBE) data for crystalline K12Rb5Cd3 at its relaxed geometry, as listed in Alexandria.

Lattice parameters (Å, degrees): 23.470 23.470 23.470 90.00 90.00 90.00
Space group Ia-3d (No. 230)
Asymmetric unit:
K 0.013 0.101 0.649 [96 per cell]
Rb 0.000 0.000 0.000 [16 per cell]
Rb 0.000 0.250 0.375 [24 per cell]
Cd 0.000 0.250 0.125 [24 per cell]

The value obtained for the density of states at the Fermi level is 107.2 states/eV per cell. The value obtained for the formation energy is 0.17 eV/atom.

Record 2
First-principles (GGA-PBE) data for crystalline ScRuW3 at its relaxed geometry, as listed in Alexandria.

Lattice parameters (Å, degrees): 4.526 4.526 4.526 90.00 90.00 90.00
Space group Pm-3m (No. 221)
Asymmetric unit:
Sc 0.000 0.000 0.000 [1 per cell]
Ru 0.500 0.500 0.500 [1 per cell]
W 0.000 0.000 0.500 [3 per cell]

The value obtained for the density of states at the Fermi level is 7.7 states/eV per cell. The value obtained for the formation energy is 2.55 eV/atom. The calculation puts the offset from the most stable computed form at 1054 meV/atom.

Record 3
First-principles (GGA-PBE) data for crystalline Eu2LuCd at its relaxed geometry, as listed in Alexandria.

Lattice parameters (Å, degrees): 5.020 5.020 5.002 90.00 90.00 90.00
Space group P4/mmm (No. 123)
Asymmetric unit:
Eu 0.000 0.500 0.000 [2 per cell]
Lu 0.000 0.000 0.500 [1 per cell]
Cd 0.500 0.500 0.500 [1 per cell]

The value obtained for the density of states at the Fermi level is 4.8 states/eV per cell. The value obtained for the formation energy is -0.02 eV/atom. The calculation puts the offset from the most stable computed form at 53 meV/atom.